# 1
An optimized crystal structure of Th4CoSb, computed with PBE.

- ΔE_f (raw): -0.66 eV per formula unit
- Density: 9.57 g cm⁻³
- Total magnetization: 0.00 μB/f.u.

Structure (POSCAR):
```
Th4CoSb
1.0
-4.431 -3.616 1.325
7.414 -1.671 -0.591
1.350 2.234 10.608
Th Sb Co
8 2 2
direct
0.043 0.780 0.028
0.568 0.754 0.750
0.957 0.220 0.528
0.342 0.124 0.750
0.658 0.876 0.250
0.957 0.220 0.972
0.432 0.246 0.250
0.043 0.780 0.472
0.940 0.592 0.750
0.060 0.408 0.250
0.038 0.733 0.250
0.962 0.267 0.750
```


# 2
An optimized crystal structure of Th5CoSb2, computed with PBE.

- ΔE_f (raw): -4.50 eV per formula unit
- Excess energy over the best structure of this formula in the dataset: 0.00 kcal/mol of atoms
- Density: 10.53 g cm⁻³
- Total magnetization: 0.00 μB/f.u.

Structure (POSCAR):
```
Th5CoSb2
1.0
4.510 0.000 0.000
0.000 8.209 0.000
0.000 0.000 12.457
Th Sb Co
10 4 2
direct
0.000 0.373 0.305
0.500 0.303 0.562
0.500 0.197 0.062
0.000 0.127 0.805
0.500 0.803 0.938
0.000 0.500 0.000
0.000 0.627 0.695
0.000 0.000 0.500
0.000 0.873 0.195
0.500 0.697 0.438
0.500 0.413 0.823
0.500 0.587 0.177
0.500 0.913 0.677
0.500 0.087 0.323
0.000 0.000 0.000
0.000 0.500 0.500
```


# 3
An optimized crystal structure of ThCo3Sb3, computed with PBE.

- ΔE_f (raw): 0.86 eV per formula unit
- Density: 8.23 g cm⁻³
- Total magnetization: 0.00 μB/f.u.

Structure (POSCAR):
```
ThCo3Sb3
1.0
6.784 0.000 0.000
0.000 6.784 0.000
0.000 0.000 6.784
Th Sb Co
2 6 6
direct
0.000 0.000 0.000
0.500 0.500 0.500
0.500 0.750 0.000
0.000 0.500 0.750
0.250 0.000 0.500
0.750 0.000 0.500
0.500 0.250 0.000
0.000 0.500 0.250
0.750 0.500 0.000
0.500 0.000 0.750
0.000 0.750 0.500
0.000 0.250 0.500
0.250 0.500 0.000
0.500 0.000 0.250
```


# 4
An optimized crystal structure of ThCo2Sb, computed with PBE.

- ΔE_f (raw): -1.45 eV per formula unit
- Density: 10.42 g cm⁻³
- Total magnetization: 0.00 μB/f.u.

Structure (POSCAR):
```
ThCo2Sb
1.0
-1.670 0.769 3.858
-3.544 -2.042 1.240
0.915 -3.909 3.543
Sb Co Th
1 2 1
direct
0.500 0.500 0.500
0.208 0.208 0.377
0.792 0.792 0.623
0.000 0.000 0.000
```


# 5
An optimized crystal structure of Th6CoSb, computed with PBE.

- ΔE_f (raw): -0.96 eV per formula unit
- Density: 10.67 g cm⁻³
- Total magnetization: 0.00 μB/f.u.

Structure (POSCAR):
```
Th6CoSb
1.0
-0.349 -3.702 5.231
5.737 -5.667 -0.493
6.051 0.185 2.102
Th Co Sb
6 1 1
direct
0.205 0.411 0.386
0.407 0.205 0.000
0.795 0.589 0.614
0.593 0.795 0.000
0.205 0.797 0.614
0.795 0.203 0.386
0.500 0.500 0.000
0.000 0.000 0.000
```


# 6
An optimized crystal structure of Th5CoSb2, computed with PBE.

- ΔE_f (raw): -2.68 eV per formula unit
- Excess energy over the best structure of this formula in the dataset: 5.24 kcal/mol of atoms
- Density: 10.23 g cm⁻³
- Total magnetization: 0.00 μB/f.u.

Structure (POSCAR):
```
Th5CoSb2
1.0
7.564 0.002 0.000
0.003 7.564 0.000
-3.783 -3.783 4.152
Th Sb Co
5 2 1
direct
0.255 0.759 0.014
0.759 0.255 0.014
0.759 0.759 0.014
0.255 0.255 0.014
0.714 0.714 0.428
0.755 0.255 0.510
0.255 0.755 0.510
0.025 0.025 0.050
```


# 7
An optimized crystal structure of Th6Co2Sb, computed with PBE.

- ΔE_f (raw): -1.66 eV per formula unit
- Density: 10.97 g cm⁻³
- Total magnetization: 0.00 μB/f.u.

Structure (POSCAR):
```
Th6Co2Sb
1.0
6.916 0.317 0.307
2.232 8.806 1.908
2.232 2.192 8.740
Th Co Sb
12 4 2
direct
0.957 0.367 0.440
0.808 0.193 0.986
0.692 0.014 0.807
0.457 0.440 0.367
0.043 0.633 0.560
0.192 0.807 0.014
0.757 0.023 0.406
0.308 0.986 0.193
0.257 0.406 0.023
0.243 0.977 0.594
0.743 0.594 0.977
0.543 0.560 0.633
0.116 0.700 0.803
0.616 0.803 0.700
0.884 0.300 0.197
0.384 0.197 0.300
0.250 0.240 0.760
0.750 0.760 0.240
```


# 8
An optimized crystal structure of Th6CoSb3, computed with PBE.

- ΔE_f (raw): -3.23 eV per formula unit
- Density: 9.28 g cm⁻³
- Total magnetization: 0.00 μB/f.u.

Structure (POSCAR):
```
Th6CoSb3
1.0
-7.194 -0.195 -1.925
0.067 -9.442 0.706
-2.409 2.807 8.716
Sb Th Co
6 12 2
direct
0.998 0.078 0.290
0.364 0.391 0.609
0.498 0.290 0.078
0.998 0.710 0.922
0.498 0.922 0.710
0.864 0.609 0.391
0.696 0.236 0.764
0.168 0.089 0.600
0.240 0.012 0.988
0.178 0.699 0.618
0.196 0.764 0.236
0.678 0.618 0.699
0.740 0.988 0.012
0.668 0.911 0.400
0.678 0.301 0.382
0.168 0.400 0.911
0.668 0.600 0.089
0.178 0.382 0.301
0.496 0.861 0.139
0.996 0.139 0.861
```